A plane-wave DFT calculation with PBE was carried out for a geometry-optimized BeRu2Au structure.

Total moment, μB/atom: 0.106
SG: P4/mmm
Calculated total energy, eV/atom: -6.050

Lattice parameters (Å, degrees): 4.010 3.727 3.727 90.00 90.00 90.00
Each line ends with the local moment (μB).
Fractional positions:
Ru1 0.000 0.000 0.000  0.21
Ru2 0.000 0.500 0.500  0.21
Au1 0.500 0.500 0.000  0.00
Be1 0.500 0.000 0.500  -0.01